1.
The following is a GGA-PBEsol calculation of V2Cu3H6O11 after structural relaxation, from Alexandria.

- crystal system = monoclinic
- electronic total energy (eV per atom) = -6.293
- energy above the lowest structure with this stoichiometry (meV per atom) = 4

Cell lengths 5.798, 6.088, 7.037 Å; angles 96.79, 90.00, 118.43 degrees
Last column: magnetic moment on the atom in μB.
Fractional positions:
O: 0.337 0.151 0.192  0.00
V: 0.499 0.998 0.250  0.01
H: 0.006 0.277 0.434  0.00
H: 0.729 0.723 0.566  0.00
O: 0.151 0.303 0.879  0.07
V: 0.501 0.002 0.750  0.01
O: 0.500 0.000 0.500  0.00
O: 0.814 0.151 0.192  0.00
Cu: 0.500 0.500 0.000  0.46
O: 0.663 0.849 0.808  0.00
O: 0.658 0.317 0.859  0.09
H: 0.994 0.723 0.566  0.00
O: 0.849 0.697 0.121  0.07
O: 0.186 0.849 0.808  0.00
O: 0.342 0.683 0.141  0.09
Cu: 0.000 0.000 0.000  -0.36
O: 0.837 0.673 0.480  0.00
Cu: 0.000 0.500 0.000  0.46
O: 0.163 0.327 0.520  0.00
H: 0.853 0.707 0.271  0.00
H: 0.271 0.277 0.434  0.00
H: 0.147 0.293 0.729  0.00

***

2.
The following is a GGA-PBEsol calculation of Cu2PH after structural relaxation, from Alexandria.

- crystal system = cubic
- electronic total energy (eV per atom) = -4.039

Cell lengths 3.878, 3.878, 3.878 Å; angles 60.00, 60.00, 60.00 degrees
Fractional positions:
H: 0.000 0.000 0.000
Cu: 0.750 0.750 0.750
Cu: 0.250 0.250 0.250
P: 0.500 0.500 0.500

***

3.
The following is a GGA-PBEsol calculation of CuHPb2S after structural relaxation, from Alexandria.

- crystal system = tetragonal
- electronic total energy (eV per atom) = -3.793

Cell lengths 3.169, 5.612, 5.612 Å; angles 90.00, 90.00, 90.00 degrees
Fractional positions:
H: 0.500 0.000 0.000
Pb: 0.000 0.000 0.500
S: 0.000 0.000 0.000
Cu: 0.500 0.500 0.500
Pb: 0.000 0.500 0.000